Record 1
# Mg3GaAg4

An optimized crystal structure of Mg3GaAg4 (GGA-PBE, the Alexandria database).

Unit cell a=18.928 b=3.247 c=4.808 alpha=90.00 beta=95.51 gamma=90.00
Sites, in units of the cell vectors:
Mg (0.000, 0.000, 0.000)
Mg (0.129, 0.000, 0.596)
Mg (0.371, 0.500, 0.404)
Mg (0.500, 0.500, 0.000)
Mg (0.629, 0.500, 0.596)
Mg (0.871, 0.000, 0.404)
Ga (0.000, 0.500, 0.500)
Ga (0.500, 0.000, 0.500)
Ag (0.123, 0.500, 0.092)
Ag (0.248, 0.000, 0.248)
Ag (0.252, 0.500, 0.752)
Ag (0.377, 0.000, 0.908)
Ag (0.623, 0.000, 0.092)
Ag (0.748, 0.500, 0.248)
Ag (0.752, 0.000, 0.752)
Ag (0.877, 0.500, 0.908)

Computed properties:
As for the density of states at the Fermi level: 0.32 states/eV/atom. The calculation puts the formation energy from the elements at -14.44 kJ per mole of atoms. Its excess energy over the best structure of this formula in the dataset is 43.1 meV per atom. Its space group is No. 12. As for the crystal system: monoclinic.

Record 2
# TiAl2Si

An optimized crystal structure of TiAl2Si (GGA-PBE, the Alexandria database).

Unit cell a=3.875 b=3.875 c=3.999 alpha=90.00 beta=90.00 gamma=90.00
Sites, in units of the cell vectors:
Ti (0.000, 0.000, 0.000)
Al (0.000, 0.500, 0.500)
Al (0.500, 0.000, 0.500)
Si (0.500, 0.500, 0.000)

Computed properties:
As for the density of states at the Fermi level: 0.61 states/eV/atom. The calculation puts the raw formation energy at -284 meV per atom. Its space group is No. 123. As for the crystal system: tetragonal.

Record 3
# ZnH2Pt2

An optimized crystal structure of ZnH2Pt2 (GGA-PBE, the Alexandria database).

Unit cell a=3.188 b=3.188 c=10.311 alpha=90.00 beta=90.00 gamma=90.00
Sites, in units of the cell vectors:
Zn (0.000, 0.000, 0.000)
Zn (0.500, 0.500, 0.500)
H (0.000, 0.500, 0.250)
H (0.000, 0.500, 0.750)
H (0.500, 0.000, 0.250)
H (0.500, 0.000, 0.750)
Pt (0.000, 0.000, 0.359)
Pt (0.000, 0.000, 0.641)
Pt (0.500, 0.500, 0.141)
Pt (0.500, 0.500, 0.859)

Computed properties:
As for the density of states at the Fermi level: 0.23 states/eV/atom. Its excess energy over the best structure of this formula in the dataset is 41.4 meV per atom. Its space group is No. 139. As for the crystal system: tetragonal.

Record 4
# Cl

An optimized crystal structure of Cl (GGA-PBE, the Alexandria database).

Unit cell a=6.637 b=6.637 c=6.637 alpha=90.00 beta=90.00 gamma=90.00
Sites, in units of the cell vectors:
Cl (0.125, 0.125, 0.125)
Cl (0.125, 0.625, 0.625)
Cl (0.375, 0.375, 0.875)
Cl (0.375, 0.875, 0.375)
Cl (0.625, 0.125, 0.625)
Cl (0.625, 0.625, 0.125)
Cl (0.875, 0.375, 0.375)
Cl (0.875, 0.875, 0.875)

Computed properties:
As for the density of states at the Fermi level: 0.53 states/eV/atom. Its excess energy over the best structure of this formula in the dataset is 781.9 meV per atom. The calculation puts the raw formation energy at 782 meV per atom. Its space group is No. 227. As for the crystal system: cubic.

Record 5
# Ac6CdAg5

An optimized crystal structure of Ac6CdAg5 (GGA-PBE, the Alexandria database).

Unit cell a=9.746 b=9.746 c=5.628 alpha=106.76 beta=106.76 gamma=119.94
Sites, in units of the cell vectors:
Ac (0.077, 0.416, 0.746)
Ac (0.243, 0.243, 0.243)
Ac (0.416, 0.077, 0.746)
Ac (0.584, 0.923, 0.254)
Ac (0.757, 0.757, 0.757)
Ac (0.923, 0.584, 0.254)
Cd (0.500, 0.500, 0.000)
Ag (0.000, 0.000, 0.500)
Ag (0.167, 0.833, 0.000)
Ag (0.339, 0.661, 0.500)
Ag (0.661, 0.339, 0.500)
Ag (0.833, 0.167, 0.000)

Computed properties:
As for the density of states at the Fermi level: 0.65 states/eV/atom. The calculation puts the formation energy from the elements at -25.72 kJ per mole of atoms. Its space group is No. 12. As for the crystal system: monoclinic.

Record 6
# Cr2Pd2Br

An optimized crystal structure of Cr2Pd2Br (GGA-PBE, the Alexandria database).

Unit cell a=3.285 b=3.285 c=15.477 alpha=90.00 beta=90.00 gamma=90.00
Sites, in units of the cell vectors:
Cr (0.000, 0.500, 0.250)
Cr (0.000, 0.500, 0.750)
Cr (0.500, 0.000, 0.250)
Cr (0.500, 0.000, 0.750)
Pd (0.000, 0.000, 0.122)
Pd (0.000, 0.000, 0.878)
Pd (0.500, 0.500, 0.378)
Pd (0.500, 0.500, 0.622)
Br (0.000, 0.000, 0.500)
Br (0.500, 0.500, 0.000)

Computed properties:
As for the density of states at the Fermi level: 0.96 states/eV/atom. Its excess energy over the best structure of this formula in the dataset is 0.0 meV per atom. The calculation puts the raw formation energy at 331 meV per atom. Its space group is No. 139. As for the crystal system: tetragonal.